An optimized crystal structure of Mg2SiMo, computed with PBE-GGA.

POSCAR file:
```
Mg2SiMo
1.0
2.7526 0.0000 0.0000
0.0000 4.8741 0.0000
-0.7771 0.0000 4.9463
Mg Si Mo
2 1 1
Direct
0.2107 0.0000 0.2497
0.7893 0.0000 0.7503
0.0000 0.5000 0.5000
0.5000 0.5000 0.0000
```

theoretical density: 4.3 g cm⁻³
D(E_F): 2.41 states/eV per cell
spin magnetization: 0.00 μB/cell
crystal system: monoclinic
raw formation energy: 0.2065 eV per atom